50
Lattice="-6.091 6.091 3.848 6.091 -6.091 3.848 6.091 6.091 -3.848" Properties=species:S:1:pos:R:3 comment="GGA-PBEsol Sr10Fe4CoMo5O30, relaxed" formation_energy_uncorrected_ev_per_atom=-2.33 pbc="T T T"
Sr 7.302 3.659 -1.935
Sr 3.659 4.879 -1.935
Sr 6.091 0.000 1.924
Sr 2.431 1.212 1.913
Sr -1.212 2.431 1.913
Sr 7.302 3.659 1.935
Sr 3.659 4.879 1.935
Sr 0.000 6.091 1.924
Sr 2.431 1.212 5.784
Sr -1.212 2.431 5.784
Fe 4.866 2.437 0.000
Fe 3.654 -1.225 3.848
Fe 2.437 7.315 0.000
Fe 1.225 3.654 3.848
Co 0.000 0.000 0.000
Mo 8.498 1.233 0.000
Mo 1.233 3.684 0.000
Mo 0.000 0.000 3.848
Mo 4.857 2.407 3.848
Mo -2.407 4.857 3.848
O 4.292 0.607 0.000
O 7.322 -2.415 1.915
O 10.290 0.618 0.000
O 3.675 -1.232 1.934
O 6.665 1.853 0.000
O 0.618 1.892 0.000
O 3.053 3.052 0.000
O 3.039 -3.038 3.848
O 0.000 0.000 1.952
O 5.464 4.257 0.000
O 5.483 -1.798 3.848
O 8.506 1.232 1.934
O 4.859 2.415 1.915
O 1.834 -0.626 3.848
O 1.853 5.516 0.000
O 4.237 0.574 3.848
O 4.257 6.717 0.000
O 1.232 3.675 1.934
O -2.415 4.859 1.915
O 0.607 7.889 0.000
O 0.626 1.834 3.848
O 0.000 0.000 5.745
O 3.052 9.128 0.000
O 3.038 3.039 3.848
O 5.473 4.199 3.848
O -0.574 4.237 3.848
O 2.415 7.322 1.915
O -4.199 5.473 3.848
O -1.232 8.506 1.934
O 1.798 5.483 3.848

***

5
Lattice="4.567 0.000 0.000 0.000 4.567 0.000 0.000 0.000 3.310" Properties=species:S:1:pos:R:3 comment="GGA-PBEsol FeCoS2N, relaxed" formation_energy_uncorrected_ev_per_atom=0.54 pbc="T T T"
Fe 0.000 0.000 0.000
Co 2.283 2.283 1.655
S 0.000 2.283 1.655
S 2.283 0.000 1.655
N 2.283 2.283 0.000

***

5
Lattice="3.737 0.000 0.000 0.000 3.737 0.000 0.000 0.000 3.761" Properties=species:S:1:pos:R:3 comment="GGA-PBEsol FeCo2WN, relaxed" formation_energy_uncorrected_ev_per_atom=0.16 pbc="T T T"
Fe 0.000 0.000 0.000
Co 0.000 1.868 1.880
Co 1.868 0.000 1.880
W 1.868 1.868 0.000
N 0.000 0.000 1.880

***

5
Lattice="4.151 0.000 0.000 0.000 4.151 0.000 0.000 0.000 4.151" Properties=species:S:1:pos:R:3 comment="GGA-PBEsol NaFeCo3, relaxed" delta_e_f_ev_per_atom=2.1708 pbc="T T T"
Na 0.000 0.000 0.000
Fe 2.076 2.076 2.076
Co 0.000 0.000 2.076
Co 0.000 2.076 0.000
Co 2.076 0.000 0.000